[1]
# Pr3Mg3CdIr2

Crystalline Pr3Mg3CdIr2 at its relaxed geometry (PBE-GGA, the Open Quantum Materials Database).

The space group is P-62m (No. 189) and the conventional cell measures 7.6306, 7.6306 and 4.2238 Å, with angles of 90.00, 90.00 and 120.00 degrees. The inequivalent atoms are Pr at (0.0000, 0.5747, 0.0000), Mg at (0.0000, 0.2568, 0.5000), Cd at (0.0000, 0.0000, 0.0000) and Ir at (0.3333, 0.6667, 0.5000).

The crystal system is hexagonal. Its total energy is -41.56 eV for the cell shown.

=====

[2]
# ThFe2

Crystalline ThFe2 at its relaxed geometry (PBE-GGA, the Open Quantum Materials Database).

The space group is P4_2/mnm (No. 136) and the conventional cell measures 4.961, 4.961 and 5.290 Å, with angles of 90.00, 90.00 and 90.00 degrees. The inequivalent atoms are Th at (0.000, 0.000, 0.000) and Fe at (0.149, 0.149, 0.500).

The crystal system is tetragonal. Its total energy is -41.73 eV for the cell shown.

=====

[3]
# NaCuMoSeS2

Crystalline NaCuMoSeS2 at its relaxed geometry (PBE-GGA, the Open Quantum Materials Database).

The space group is Cmcm (No. 63) and the conventional cell measures 3.444, 13.787 and 9.594 Å, with angles of 90.00, 90.00 and 90.00 degrees. The inequivalent atoms are Na at (0.000, 0.233, 0.250), Cu at (0.000, 0.462, 0.750), Mo at (0.000, 0.000, 0.000), Se at (0.000, 0.087, 0.750) and S at (0.000, 0.376, 0.553).

The crystal system is orthorhombic. Its total energy is -123.00 eV for the cell shown.

=====

[4]
# La2PrBi3

Crystalline La2PrBi3 at its relaxed geometry (PBE-GGA, the Open Quantum Materials Database).

The space group is P-3m1 (No. 164) and the conventional cell measures 4.6564, 4.6564 and 11.4574 Å, with angles of 90.00, 90.00 and 120.00 degrees. The inequivalent atoms are La at (0.3333, 0.6667, 0.3326), Pr at (0.0000, 0.0000, 0.0000), Bi at (0.0000, 0.0000, 0.5000) and Bi at (0.3333, 0.6667, 0.8344).

The crystal system is trigonal. Its total energy is -32.99 eV for the cell shown.